Li3TcN: optimized geometry, PBE-GGA.

Results
formation energy without anion corrections = 1963 meV per atom
distance to the lowest polymorph of the same formula = 1364.3 meV/atom
crystal system = cubic

The structure in CIF format:
```
data_Li3TcN
_space_group_name_H-M_alt 'P m -3 m'
_space_group_IT_number 221
_space_group_name_Hall '-P 4 2 3'
_cell_length_a 5.012
_cell_length_b 5.012
_cell_length_c 5.012
_cell_angle_alpha 90.00
_cell_angle_beta 90.00
_cell_angle_gamma 90.00
loop_
_atom_site_label
_atom_site_fract_x
_atom_site_fract_y
_atom_site_fract_z
Li1 0.000 0.000 0.500
Tc1 0.000 0.000 0.000
N1 0.500 0.500 0.500
```

---

NaRh3Pb5: optimized geometry, PBE-GGA.

Results
DFT total energy = -41.6 eV/f.u.
crystal system = monoclinic

The structure in CIF format:
```
data_NaRh3Pb5
_space_group_name_H-M_alt 'C 1 2/m 1'
_space_group_IT_number 12
_space_group_name_Hall '-C 2y'
_cell_length_a 12.090
_cell_length_b 9.540
_cell_length_c 10.252
_cell_angle_alpha 90.00
_cell_angle_beta 125.08
_cell_angle_gamma 90.00
loop_
_atom_site_label
_atom_site_fract_x
_atom_site_fract_y
_atom_site_fract_z
Na1 0.102 0.000 0.321
Rh1 0.000 0.000 0.000
Rh2 0.000 0.000 0.500
Rh3 0.150 0.500 0.668
Rh4 0.181 0.500 0.176
Pb1 0.000 0.283 0.000
Pb2 0.083 0.500 0.359
Pb3 0.159 0.223 0.661
Pb4 0.230 0.000 0.013
```

---

Rb2PuInBr5: optimized geometry, PBE-GGA.

Results
formation energy without anion corrections = -1322 meV per atom
crystal system = tetragonal

The structure in CIF format:
```
data_Rb2PuInBr5
_space_group_name_H-M_alt 'P 4/m m m'
_space_group_IT_number 123
_space_group_name_Hall '-P 4 2'
_cell_length_a 5.716
_cell_length_b 5.716
_cell_length_c 12.227
_cell_angle_alpha 90.00
_cell_angle_beta 90.00
_cell_angle_gamma 90.00
loop_
_atom_site_label
_atom_site_fract_x
_atom_site_fract_y
_atom_site_fract_z
Rb1 0.000 0.000 0.225
Pu1 0.500 0.500 0.000
In1 0.500 0.500 0.500
Br1 0.000 0.000 0.500
Br2 0.000 0.500 0.000
Br3 0.500 0.500 0.242
```

---

Ca2Ge2Se: optimized geometry, PBE-GGA.

Results
formation energy without anion corrections = -634 meV per atom
distance to the lowest polymorph of the same formula = 71.1 meV/atom
crystal system = tetragonal

The structure in CIF format:
```
data_Ca2Ge2Se
_space_group_name_H-M_alt 'P 4/m b m'
_space_group_IT_number 127
_space_group_name_Hall '-P 4 2ab'
_cell_length_a 7.672
_cell_length_b 7.672
_cell_length_c 4.181
_cell_angle_alpha 90.00
_cell_angle_beta 90.00
_cell_angle_gamma 90.00
loop_
_atom_site_label
_atom_site_fract_x
_atom_site_fract_y
_atom_site_fract_z
Ca1 0.182 0.318 0.000
Ge1 0.114 0.614 0.500
Se1 0.000 0.000 0.500
```

---

Tm6Tl5Ag: optimized geometry, PBE-GGA.

Results
distance to the lowest polymorph of the same formula = 89.7 meV/atom
crystal system = monoclinic

The structure in CIF format:
```
data_Tm6Tl5Ag
_space_group_name_H-M_alt 'C 1 2/m 1'
_space_group_IT_number 12
_space_group_name_Hall '-C 2y'
_cell_length_a 6.332
_cell_length_b 11.084
_cell_length_c 9.724
_cell_angle_alpha 90.00
_cell_angle_beta 103.10
_cell_angle_gamma 90.00
loop_
_atom_site_label
_atom_site_fract_x
_atom_site_fract_y
_atom_site_fract_z
Tm1 0.242 0.000 0.248
Tm2 0.243 0.163 0.744
Tl1 0.000 0.173 0.000
Tl2 0.000 0.340 0.500
Tl3 0.000 0.500 0.000
Ag1 0.000 0.000 0.500
```

---

Pa2NbGaN6: optimized geometry, PBE-GGA.

Results
formation energy without anion corrections = -919 meV per atom
crystal system = tetragonal

The structure in CIF format:
```
data_Pa2NbGaN6
_space_group_name_H-M_alt 'P 4 m m'
_space_group_IT_number 99
_space_group_name_Hall 'P 4 -2'
_cell_length_a 5.278
_cell_length_b 5.278
_cell_length_c 5.013
_cell_angle_alpha 90.00
_cell_angle_beta 90.00
_cell_angle_gamma 90.00
loop_
_atom_site_label
_atom_site_fract_x
_atom_site_fract_y
_atom_site_fract_z
Pa1 0.000 0.500 0.000
Nb1 0.000 0.000 0.590
Ga1 0.500 0.500 0.575
N1 0.000 0.000 0.205
N2 0.250 0.250 0.752
N3 0.500 0.500 0.198
```

---

AcSiHRu: optimized geometry, PBE-GGA.

Results
DFT total energy = -25.1 eV/f.u.
crystal system = tetragonal

The structure in CIF format:
```
data_AcSiHRu
_space_group_name_H-M_alt 'P 4/n m m'
_space_group_IT_number 129
_cell_length_a 4.279
_cell_length_b 4.279
_cell_length_c 8.028
_cell_angle_alpha 90.00
_cell_angle_beta 90.00
_cell_angle_gamma 90.00
loop_
_space_group_symop_operation_xyz
'x,y,z'
'-x,-y,-z'
'-y+1/2,x,z'
'y+1/2,-x,-z'
'-x+1/2,-y+1/2,z'
'x+1/2,y+1/2,-z'
'y,-x+1/2,z'
'-y,x+1/2,-z'
'x+1/2,-y,-z'
'-x+1/2,y,z'
'-y,-x,-z'
'y,x,z'
'-x,y+1/2,-z'
'x,-y+1/2,z'
'y+1/2,x+1/2,-z'
'-y+1/2,-x+1/2,z'
loop_
_atom_site_label
_atom_site_fract_x
_atom_site_fract_y
_atom_site_fract_z
Ac1 0.250 0.250 0.177
Si1 0.250 0.250 0.635
H1 0.250 0.750 0.000
Ru1 0.250 0.750 0.500
```

---

MgTc2Te: optimized geometry, PBE-GGA.

Results
formation energy without anion corrections = 830 meV per atom
distance to the lowest polymorph of the same formula = 694.1 meV/atom
crystal system = tetragonal

The structure in CIF format:
```
data_MgTc2Te
_space_group_name_H-M_alt 'I -4 2 d'
_space_group_IT_number 122
_space_group_name_Hall 'I -4 2bw'
_cell_length_a 7.536
_cell_length_b 7.536
_cell_length_c 5.422
_cell_angle_alpha 90.00
_cell_angle_beta 90.00
_cell_angle_gamma 90.00
loop_
_atom_site_label
_atom_site_fract_x
_atom_site_fract_y
_atom_site_fract_z
Mg1 0.000 0.000 0.000
Tc1 0.223 0.250 0.625
Te1 0.000 0.000 0.500
```

---

IrOsPd2O: optimized geometry, PBE-GGA.

Results
formation energy without anion corrections = 1083 meV per atom
crystal system = tetragonal

The structure in CIF format:
```
data_IrOsPd2O
_space_group_name_H-M_alt 'P 4/m m m'
_space_group_IT_number 123
_space_group_name_Hall '-P 4 2'
_cell_length_a 5.040
_cell_length_b 5.040
_cell_length_c 3.530
_cell_angle_alpha 90.00
_cell_angle_beta 90.00
_cell_angle_gamma 90.00
loop_
_atom_site_label
_atom_site_fract_x
_atom_site_fract_y
_atom_site_fract_z
Ir1 0.000 0.000 0.000
Os1 0.500 0.500 0.500
Pd1 0.000 0.500 0.000
O1 0.000 0.000 0.500
```

---

Sm4HoTe5: optimized geometry, PBE-GGA.

Results
formation energy without anion corrections = -1357 meV per atom
crystal system = tetragonal

The structure in CIF format:
```
data_Sm4HoTe5
_space_group_name_H-M_alt 'I 4/m m m'
_space_group_IT_number 139
_space_group_name_Hall '-I 4 2'
_cell_length_a 4.395
_cell_length_b 4.395
_cell_length_c 31.718
_cell_angle_alpha 90.00
_cell_angle_beta 90.00
_cell_angle_gamma 90.00
loop_
_atom_site_label
_atom_site_fract_x
_atom_site_fract_y
_atom_site_fract_z
Sm1 0.000 0.000 0.105
Sm2 0.000 0.000 0.308
Ho1 0.000 0.000 0.500
Te1 0.000 0.000 0.000
Te2 0.000 0.000 0.205
Te3 0.000 0.000 0.405
```

---

Sr3PbN: optimized geometry, PBE-GGA.

Results
formation energy without anion corrections = -164 meV per atom
crystal system = tetragonal

The structure in CIF format:
```
data_Sr3PbN
_space_group_name_H-M_alt 'I -4 m 2'
_space_group_IT_number 119
_space_group_name_Hall 'I -4 -2'
_cell_length_a 7.211
_cell_length_b 7.211
_cell_length_c 13.372
_cell_angle_alpha 90.00
_cell_angle_beta 90.00
_cell_angle_gamma 90.00
loop_
_atom_site_label
_atom_site_fract_x
_atom_site_fract_y
_atom_site_fract_z
Sr1 0.000 0.000 0.148
Sr2 0.000 0.261 0.606
Pb1 0.000 0.500 0.132
N1 0.000 0.000 0.500
N2 0.000 0.500 0.750
```

---

SiGeTe3: optimized geometry, PBE-GGA.

Results
formation energy without anion corrections = 525 meV per atom
crystal system = cubic

The structure in CIF format:
```
data_SiGeTe3
_space_group_name_H-M_alt 'P m -3 m'
_space_group_IT_number 221
_space_group_name_Hall '-P 4 2 3'
_cell_length_a 5.265
_cell_length_b 5.265
_cell_length_c 5.265
_cell_angle_alpha 90.00
_cell_angle_beta 90.00
_cell_angle_gamma 90.00
loop_
_atom_site_label
_atom_site_fract_x
_atom_site_fract_y
_atom_site_fract_z
Si1 0.000 0.000 0.000
Ge1 0.500 0.500 0.500
Te1 0.000 0.000 0.500
```

---

Mg3ScAg: optimized geometry, PBE-GGA.

Results
distance to the lowest polymorph of the same formula = 333.4 meV/atom
crystal system = cubic

The structure in CIF format:
```
data_Mg3ScAg
_space_group_name_H-M_alt 'P m -3 m'
_space_group_IT_number 221
_space_group_name_Hall '-P 4 2 3'
_cell_length_a 5.017
_cell_length_b 5.017
_cell_length_c 5.017
_cell_angle_alpha 90.00
_cell_angle_beta 90.00
_cell_angle_gamma 90.00
loop_
_atom_site_label
_atom_site_fract_x
_atom_site_fract_y
_atom_site_fract_z
Mg1 0.000 0.000 0.500
Sc1 0.500 0.500 0.500
Ag1 0.000 0.000 0.000
```

---

Ca2YCdC: optimized geometry, PBE-GGA.

Results
DFT total energy = -20.9 eV/f.u.
crystal system = tetragonal

The structure in CIF format:
```
data_Ca2YCdC
_space_group_name_H-M_alt 'P 4/m m m'
_space_group_IT_number 123
_space_group_name_Hall '-P 4 2'
_cell_length_a 5.122
_cell_length_b 5.122
_cell_length_c 4.900
_cell_angle_alpha 90.00
_cell_angle_beta 90.00
_cell_angle_gamma 90.00
loop_
_atom_site_label
_atom_site_fract_x
_atom_site_fract_y
_atom_site_fract_z
Ca1 0.000 0.500 0.000
Y1 0.000 0.000 0.500
Cd1 0.500 0.500 0.500
C1 0.000 0.000 0.000
```

---

AcTbPm4Sm2: optimized geometry, PBE-GGA.

Results
DFT total energy = -34.0 eV/f.u.
crystal system = monoclinic

The structure in CIF format:
```
data_AcTbPm4Sm2
_space_group_name_H-M_alt 'C 1 2/c 1'
_space_group_IT_number 15
_space_group_name_Hall '-C 2yc'
_cell_length_a 13.918
_cell_length_b 13.558
_cell_length_c 7.036
_cell_angle_alpha 90.00
_cell_angle_beta 120.26
_cell_angle_gamma 90.00
loop_
_atom_site_label
_atom_site_fract_x
_atom_site_fract_y
_atom_site_fract_z
Ac1 0.250 0.250 0.000
Tb1 0.000 0.000 0.000
Pm1 0.000 0.248 0.016
Pm2 0.248 0.008 0.475
Sm1 0.000 0.500 0.000
Sm2 0.250 0.250 0.500
```

---

Cr3Ni2Ir6: optimized geometry, PBE-GGA.

Results
DFT total energy = -92.7 eV/f.u.
crystal system = triclinic

The structure in CIF format:
```
data_Cr3Ni2Ir6
_space_group_name_H-M_alt 'P -1'
_space_group_IT_number 2
_space_group_name_Hall '-P 1'
_cell_length_a 5.024
_cell_length_b 5.058
_cell_length_c 6.769
_cell_angle_alpha 74.10
_cell_angle_beta 73.03
_cell_angle_gamma 67.34
loop_
_atom_site_label
_atom_site_fract_x
_atom_site_fract_y
_atom_site_fract_z
Cr1 0.000 0.000 0.000
Cr2 0.478 0.741 0.533
Ni1 0.370 0.591 0.145
Ir1 0.015 0.215 0.560
Ir2 0.141 0.466 0.803
Ir3 0.380 0.079 0.185
```

---

TaTi2Al2: optimized geometry, PBE-GGA.

Results
distance to the lowest polymorph of the same formula = 242.9 meV/atom
crystal system = tetragonal

The structure in CIF format:
```
data_TaTi2Al2
_space_group_name_H-M_alt 'P 4/m b m'
_space_group_IT_number 127
_space_group_name_Hall '-P 4 2ab'
_cell_length_a 7.706
_cell_length_b 7.706
_cell_length_c 2.835
_cell_angle_alpha 90.00
_cell_angle_beta 90.00
_cell_angle_gamma 90.00
loop_
_atom_site_label
_atom_site_fract_x
_atom_site_fract_y
_atom_site_fract_z
Ta1 0.000 0.000 0.000
Ti1 0.119 0.381 0.000
Al1 0.179 0.679 0.500
```

---

LiBiF2: optimized geometry, PBE-GGA.

Results
formation energy without anion corrections = -1350 meV per atom
distance to the lowest polymorph of the same formula = 784.8 meV/atom
crystal system = cubic

The structure in CIF format:
```
data_LiBiF2
_space_group_name_H-M_alt 'F m -3 m'
_space_group_IT_number 225
_space_group_name_Hall '-F 4 2 3'
_cell_length_a 6.346
_cell_length_b 6.346
_cell_length_c 6.346
_cell_angle_alpha 90.00
_cell_angle_beta 90.00
_cell_angle_gamma 90.00
loop_
_atom_site_label
_atom_site_fract_x
_atom_site_fract_y
_atom_site_fract_z
Li1 0.000 0.000 0.000
Bi1 0.000 0.000 0.500
F1 0.250 0.250 0.250
```

---

ZnFe2Pt: optimized geometry, PBE-GGA.

Results
DFT total energy = -24.4 eV/f.u.
crystal system = trigonal

The structure in CIF format:
```
data_ZnFe2Pt
_space_group_name_H-M_alt 'R -3 m'
_space_group_IT_number 166
_space_group_name_Hall '-R 3 2"'
_cell_length_a 2.6886
_cell_length_b 2.6886
_cell_length_c 26.0499
_cell_angle_alpha 90.00
_cell_angle_beta 90.00
_cell_angle_gamma 120.00
loop_
_atom_site_label
_atom_site_fract_x
_atom_site_fract_y
_atom_site_fract_z
Zn1 0.0000 0.0000 0.0000
Fe1 0.0000 0.0000 0.2513
Pt1 0.0000 0.0000 0.5000
```

---

PrNdHo: optimized geometry, PBE-GGA.

Results
distance to the lowest polymorph of the same formula = 45.1 meV/atom
crystal system = hexagonal

The structure in CIF format:
```
data_PrNdHo
_space_group_name_H-M_alt 'P -6 m 2'
_space_group_IT_number 187
_space_group_name_Hall 'P -6 2'
_cell_length_a 5.7651
_cell_length_b 5.7651
_cell_length_c 3.5409
_cell_angle_alpha 90.00
_cell_angle_beta 90.00
_cell_angle_gamma 120.00
loop_
_atom_site_label
_atom_site_fract_x
_atom_site_fract_y
_atom_site_fract_z
Pr1 0.0000 0.0000 0.0000
Nd1 0.3333 0.6667 0.5000
Ho1 0.6667 0.3333 0.5000
```

---

Ca3Pm12Ho5: optimized geometry, PBE-GGA.

Results
DFT total energy = -65.0 eV/f.u.
crystal system = cubic

The structure in CIF format:
```
data_Ca3Pm12Ho5
_space_group_name_H-M_alt 'I a -3 d'
_space_group_IT_number 230
_space_group_name_Hall '-I 4bd 2c 3'
_cell_length_a 19.181
_cell_length_b 19.181
_cell_length_c 19.181
_cell_angle_alpha 90.00
_cell_angle_beta 90.00
_cell_angle_gamma 90.00
loop_
_atom_site_label
_atom_site_fract_x
_atom_site_fract_y
_atom_site_fract_z
Ca1 0.000 0.250 0.125
Pm1 0.010 0.079 0.644
Ho1 0.000 0.000 0.000
Ho2 0.000 0.250 0.375
```